A plane-wave DFT calculation with PBE+U was carried out for a relaxed ScWNO2 crystal.

Calculated values
Total energy, Ha/atom: -0.2814
D(E_F), states/eV per atom: 0.4565

Cell and atoms, written as extended XYZ:
```
5
Lattice="-2.2629 2.3884 2.2613 -3.0393 -2.5676 -0.3296 1.2619 -1.9156 3.2861" Properties=species:S:1:pos:R:3 pbc="T T T"
N 0.6310 -0.9578 1.6430
O -1.1314 1.1942 1.1307
O -1.5197 -1.2838 -0.1648
Sc -2.0201 -1.0474 2.6089
W 0.0000 0.0000 0.0000
```